Entry from Alexandria via LeMat-Bulk: an optimized crystal structure of K2ZnH12S2O14 (GGA-PBEsol).

Values from the calculation:
Size of the total moment = 0.000 μB per cell
Energy = -5.407 eV/atom
Calculated density = 2.3 Mg/m³
Space group = P2_1/c (14)

Cell and atoms, written as POSCAR:
```
K2ZnH12S2O14
1.0
6.145 0.000 0.000
0.000 12.029 0.000
-2.134 0.000 8.642
K Zn H S O
4 2 24 4 28
direct
0.162 0.160 0.364 K
0.162 0.340 0.864 K
0.838 0.660 0.136 K
0.838 0.840 0.636 K
0.500 0.000 0.000 Zn
0.500 0.500 0.500 Zn
0.162 0.559 0.609 H
0.162 0.941 0.109 H
0.170 0.646 0.473 H
0.170 0.854 0.973 H
0.175 0.087 0.780 H
0.175 0.413 0.280 H
0.411 0.125 0.745 H
0.411 0.375 0.245 H
0.417 0.602 0.223 H
0.417 0.898 0.723 H
0.492 0.695 0.354 H
0.492 0.805 0.854 H
0.508 0.195 0.146 H
0.508 0.305 0.646 H
0.583 0.102 0.277 H
0.583 0.398 0.777 H
0.589 0.625 0.755 H
0.589 0.875 0.255 H
0.825 0.587 0.720 H
0.825 0.913 0.220 H
0.830 0.146 0.027 H
0.830 0.354 0.527 H
0.838 0.059 0.891 H
0.838 0.441 0.391 H
0.221 0.634 0.911 S
0.221 0.866 0.411 S
0.779 0.134 0.589 S
0.779 0.366 0.089 S
0.076 0.734 0.909 O
0.076 0.766 0.409 O
0.110 0.559 0.782 O
0.110 0.941 0.282 O
0.202 0.566 0.506 O
0.202 0.934 0.006 O
0.244 0.574 0.059 O
0.244 0.926 0.559 O
0.330 0.115 0.829 O
0.330 0.385 0.329 O
0.446 0.670 0.891 O
0.446 0.830 0.391 O
0.471 0.118 0.176 O
0.471 0.382 0.676 O
0.529 0.618 0.324 O
0.529 0.882 0.824 O
0.554 0.170 0.609 O
0.554 0.330 0.109 O
0.670 0.615 0.671 O
0.670 0.885 0.171 O
0.756 0.074 0.441 O
0.756 0.426 0.941 O
0.798 0.066 0.994 O
0.798 0.434 0.494 O
0.890 0.059 0.718 O
0.890 0.441 0.218 O
0.924 0.234 0.591 O
0.924 0.266 0.091 O
```